Material: Gd2CoB2O6
Method: DFT, PBE with a Hubbard U
State: optimized geometry

Unit cell a=4.9866 b=4.9866 c=6.0358 alpha=114.90 beta=114.90 gamma=59.00
Positions (direct):
1 Gd 0.2109 0.2109 0.2130
2 Gd 0.7891 0.7891 0.7870
3 Co 0.0000 0.0000 0.5000
4 B 0.4654 0.4654 0.7413
5 B 0.5346 0.5346 0.2587
6 O 0.1963 0.6843 0.1708
7 O 0.2833 0.2833 0.6462
8 O 0.3157 0.8037 0.8292
9 O 0.6843 0.1963 0.1708
10 O 0.7167 0.7167 0.3538
11 O 0.8037 0.3157 0.8292

Summary:
The final energy is -7.64 eV per atom.



Material: Sm2GdCo2B2O3
Method: DFT, PBE with a Hubbard U
State: optimized geometry

Unit cell a=11.2473 b=11.2473 c=11.2473 alpha=162.38 beta=162.38 gamma=25.01
Positions (direct):
1 Sm 0.1364 0.1364 0.0000
2 Sm 0.8636 0.8636 0.0000
3 Gd 0.5000 0.5000 0.0000
4 Co 0.2500 0.7500 0.5000
5 Co 0.7500 0.2500 0.5000
6 B 0.2875 0.2875 0.0000
7 B 0.7125 0.7125 0.0000
8 O 0.0000 0.0000 0.0000
9 O 0.3980 0.3980 0.0000
10 O 0.6020 0.6020 0.0000

Summary:
The final energy is -6.89 eV per atom.



Material: Tb2GdCo2B2O3
Method: DFT, PBE with a Hubbard U
State: optimized geometry

Unit cell a=11.0587 b=11.0587 c=11.0587 alpha=162.19 beta=162.19 gamma=25.29
Positions (direct):
1 Tb 0.1378 0.1378 0.0000
2 Tb 0.8622 0.8622 0.0000
3 Gd 0.5000 0.5000 0.0000
4 Co 0.2500 0.7500 0.5000
5 Co 0.7500 0.2500 0.5000
6 B 0.2895 0.2895 0.0000
7 B 0.7105 0.7105 0.0000
8 O 0.0000 0.0000 0.0000
9 O 0.3960 0.3960 0.0000
10 O 0.6040 0.6040 0.0000

Summary:
The final energy is -6.88 eV per atom.



no.,M_tot (Bohr magnetons per cell)
1,2.83
2,0.00
3,0.01